First-principles (GGA-PBE) data for Pr2Zn4CuPt3 after structural relaxation, as listed in Alexandria.

Cell and atoms, written as POSCAR:
```
Pr2Zn4CuPt3
1.0
-0.631 2.751 -3.065
-2.144 -2.867 -2.131
-9.338 3.333 4.913
Pr Zn Cu Pt
2 4 1 3
direct
0.500 0.000 0.252
0.000 0.500 0.748
0.500 0.500 0.000
0.000 0.000 0.000
0.500 0.000 0.628
0.000 0.500 0.372
0.500 0.500 0.500
0.000 0.000 0.500
0.500 0.000 0.858
0.000 0.500 0.142
```

For the formation energy, the calculation gives -640 meV/atom. The calculation puts the total energy at -43.3 eV for the cell shown.

---

First-principles (GGA-PBE) data for NbInPO2 after structural relaxation, as listed in Alexandria.

Cell and atoms, written as POSCAR:
```
NbInPO2
1.0
3.970 0.000 0.000
0.000 3.970 0.000
0.000 0.000 5.338
P Nb O In
1 1 2 1
direct
0.000 0.000 0.500
0.500 0.500 0.500
0.000 0.500 0.000
0.500 0.000 0.000
0.000 0.000 0.000
```

The calculation puts the formation energy (no corrections) at 4 kJ per mole of atoms. The calculation puts the total energy at -27.9 eV for the cell shown.

---

First-principles (GGA-PBE) data for Mn2TeAu after structural relaxation, as listed in Alexandria.

Cell and atoms, written as POSCAR:
```
Mn2TeAu
1.0
-1.519 -2.787 -4.398
3.105 -4.163 1.565
-4.917 -6.316 2.356
Te Au Mn
2 2 4
direct
0.500 0.500 0.000
0.250 0.750 0.500
0.000 0.000 0.000
0.750 0.250 0.500
0.650 0.125 0.250
0.100 0.625 0.250
0.375 0.350 0.750
0.875 0.900 0.750
```

The calculation puts the formation energy (no corrections) at 38 kJ per mole of atoms. The calculation puts the total energy at -46.4 eV for the cell shown.

---

First-principles (GGA-PBE) data for DyFe2PC after structural relaxation, as listed in Alexandria.

Cell and atoms, written as POSCAR:
```
DyFe2PC
1.0
-3.533 -0.659 -0.697
1.263 -1.890 4.995
-1.625 5.910 2.648
Dy Fe P C
2 4 2 2
direct
0.452 0.903 0.750
0.548 0.097 0.250
0.167 0.335 0.943
0.833 0.665 0.057
0.167 0.335 0.557
0.833 0.665 0.443
0.730 0.460 0.750
0.270 0.540 0.250
0.000 0.000 0.000
0.000 0.000 0.500
```

For the formation energy, the calculation gives -701 meV/atom. The calculation puts the total energy at -79.3 eV for the cell shown.

---

First-principles (GGA-PBE) data for Cd2BiPbAu4 after structural relaxation, as listed in Alexandria.

Cell and atoms, written as POSCAR:
```
Cd2BiPbAu4
1.0
-0.485 -1.035 -4.913
-3.031 -3.742 -1.502
-7.362 3.618 -2.625
Cd Bi Pb Au
2 1 1 4
direct
0.749 0.749 0.754
0.251 0.251 0.246
0.500 0.500 0.500
0.000 0.000 0.000
0.375 0.375 0.874
0.874 0.874 0.379
0.126 0.126 0.621
0.625 0.625 0.126
```

For the formation energy, the calculation gives -7 meV/atom. The calculation puts the total energy at -22.6 eV for the cell shown.

---

First-principles (GGA-PBE) data for LiPuTlCd after structural relaxation, as listed in Alexandria.

Cell and atoms, written as POSCAR:
```
LiPuTlCd
1.0
-2.573 -3.563 2.743
-2.364 -3.923 -2.421
1.882 -4.809 0.411
Tl Cd Li Pu
1 1 1 1
direct
0.750 0.750 0.750
0.250 0.250 0.250
0.000 0.000 0.000
0.500 0.500 0.500
```

For the formation energy, the calculation gives -38 meV/atom. The calculation puts the total energy at -19.7 eV for the cell shown.

---

First-principles (GGA-PBE) data for SiGe2BiP after structural relaxation, as listed in Alexandria.

Cell and atoms, written as POSCAR:
```
SiGe2BiP
1.0
-0.465 -4.320 -2.024
-0.260 -2.278 4.922
-4.765 0.518 -0.012
P Ge Si Bi
1 2 1 1
direct
0.000 0.000 0.000
0.000 0.000 0.500
0.500 0.000 0.000
0.500 0.500 0.500
0.000 0.500 0.000
```

The calculation puts the formation energy (no corrections) at 78 kJ per mole of atoms. The calculation puts the total energy at -19.9 eV for the cell shown.

---

First-principles (GGA-PBE) data for Cr3Br after structural relaxation, as listed in Alexandria.

Cell and atoms, written as POSCAR:
```
Cr3Br
1.0
3.152 0.000 0.000
0.000 4.721 0.000
0.000 0.000 4.452
Br Cr
1 3
direct
0.000 0.000 0.059
0.500 0.000 0.536
0.500 0.500 0.756
0.000 0.500 0.315
```

The calculation puts the formation energy (no corrections) at 73 kJ per mole of atoms. The calculation puts the total energy at -27.5 eV for the cell shown.

---

First-principles (GGA-PBE) data for Li3InAg4 after structural relaxation, as listed in Alexandria.

Cell and atoms, written as POSCAR:
```
Li3InAg4
1.0
-1.619 0.654 -2.469
-0.318 -4.738 -1.045
-10.625 -3.967 0.360
In Ag Li
1 4 3
direct
0.000 0.000 0.000
0.644 0.340 0.238
0.356 0.660 0.762
0.759 0.254 0.494
0.241 0.746 0.506
0.101 0.822 0.266
0.899 0.178 0.734
0.500 0.500 0.000
```

For the formation energy, the calculation gives -188 meV/atom. The calculation puts the total energy at -21.4 eV for the cell shown.

---

First-principles (GGA-PBE) data for ScSi2Mo after structural relaxation, as listed in Alexandria.

Cell and atoms, written as POSCAR:
```
ScSi2Mo
1.0
4.733 0.007 0.003
-1.302 4.550 0.003
0.412 0.547 2.920
Mo Sc Si
1 1 2
direct
0.500 0.000 0.500
0.000 0.500 0.500
0.000 0.000 0.000
0.500 0.500 0.000
```

The calculation puts the formation energy (no corrections) at -25 kJ per mole of atoms. The calculation puts the total energy at -29.0 eV for the cell shown.

---

First-principles (GGA-PBE) data for CaIrBr after structural relaxation, as listed in Alexandria.

Cell and atoms, written as POSCAR:
```
CaIrBr
1.0
-2.484 -3.201 -0.941
10.417 -4.909 -1.534
1.008 0.894 4.073
Ca Ir Br
2 2 2
direct
0.764 0.645 0.172
0.032 0.033 0.309
0.553 0.839 0.568
0.251 0.839 0.917
0.452 0.176 0.020
0.985 0.502 0.781
```

The calculation puts the formation energy (no corrections) at -103 kJ per mole of atoms. The calculation puts the total energy at -31.5 eV for the cell shown.

---

First-principles (GGA-PBE) data for K3HfU3S8 after structural relaxation, as listed in Alexandria.

Cell and atoms, written as POSCAR:
```
K3HfU3S8
1.0
-6.747 -3.609 -1.783
6.771 -3.977 -0.262
-3.139 1.888 8.055
K Hf U S
3 1 3 8
direct
0.000 0.000 0.000
0.000 0.500 0.000
0.500 0.500 0.000
0.000 0.000 0.500
0.500 0.000 0.500
0.500 0.500 0.500
0.000 0.500 0.500
0.264 0.528 0.293
0.736 0.472 0.707
0.778 0.555 0.306
0.222 0.445 0.694
0.778 0.028 0.306
0.222 0.972 0.694
0.250 0.028 0.306
0.750 0.972 0.694
```

The calculation puts the formation energy (no corrections) at -139 kJ per mole of atoms. The calculation puts the total energy at -101.8 eV for the cell shown.

---

First-principles (GGA-PBE) data for La2CuPb after structural relaxation, as listed in Alexandria.

Cell and atoms, written as POSCAR:
```
La2CuPb
1.0
9.059 -0.020 -0.012
8.151 3.952 -0.012
8.151 1.863 3.486
Cu La Pb
1 2 1
direct
0.750 0.750 0.750
0.012 0.012 0.012
0.488 0.488 0.488
0.250 0.250 0.250
```

For the formation energy, the calculation gives -167 meV/atom. The calculation puts the total energy at -18.3 eV for the cell shown.

---

First-principles (GGA-PBE) data for Nd8Y after structural relaxation, as listed in Alexandria.

Cell and atoms, written as POSCAR:
```
Nd8Y
1.0
-1.486 -4.797 -1.325
3.529 -1.928 -7.155
5.374 -5.346 3.148
Nd Y
8 1
direct
0.334 0.000 0.333
0.666 0.000 0.667
0.666 0.667 0.000
0.000 0.667 0.333
0.333 0.667 0.667
0.667 0.333 0.333
0.000 0.333 0.667
0.334 0.333 0.000
0.000 0.000 0.000
```

For the formation energy, the calculation gives 12 meV/atom. The calculation puts the total energy at -44.5 eV for the cell shown.

---

First-principles (GGA-PBE) data for Y2HgSb2 after structural relaxation, as listed in Alexandria.

Cell and atoms, written as POSCAR:
```
Y2HgSb2
1.0
8.410 0.000 0.000
0.000 8.410 0.000
0.000 0.000 4.013
Y Sb Hg
4 4 2
direct
0.352 0.852 0.000
0.852 0.648 0.000
0.648 0.148 0.000
0.148 0.352 0.000
0.155 0.655 0.500
0.655 0.845 0.500
0.845 0.345 0.500
0.345 0.155 0.500
0.000 0.000 0.000
0.500 0.500 0.000
```

The calculation puts the formation energy (no corrections) at -75 kJ per mole of atoms. The calculation puts the total energy at -50.7 eV for the cell shown.

---

First-principles (GGA-PBE) data for Dy2AgI after structural relaxation, as listed in Alexandria.

Cell and atoms, written as POSCAR:
```
Dy2AgI
1.0
-3.523 2.006 -0.287
-2.384 -0.535 -3.248
-5.776 -5.652 2.627
Dy Ag I
2 1 1
direct
0.071 0.071 0.788
0.262 0.262 0.213
0.668 0.668 0.997
0.499 0.499 0.502
```

The calculation puts the formation energy (no corrections) at -41 kJ per mole of atoms. The calculation puts the total energy at -15.3 eV for the cell shown.

---

First-principles (GGA-PBE) data for La3Ho2ErS6 after structural relaxation, as listed in Alexandria.

Cell and atoms, written as POSCAR:
```
La3Ho2ErS6
1.0
-1.874 2.178 -6.260
3.243 -6.032 0.733
-6.353 -1.795 2.542
La Ho Er S
3 2 1 6
direct
0.167 0.833 0.500
0.833 0.167 0.500
0.500 0.500 0.500
0.333 0.667 0.000
0.667 0.333 0.000
0.000 0.000 0.000
0.925 0.592 0.773
0.743 0.743 0.227
0.075 0.408 0.227
0.592 0.925 0.773
0.257 0.257 0.773
0.408 0.075 0.227
```

The calculation puts the formation energy (no corrections) at -201 kJ per mole of atoms. The calculation puts the total energy at -78.2 eV for the cell shown.

---

First-principles (GGA-PBE) data for LaInHg2 after structural relaxation, as listed in Alexandria.

Cell and atoms, written as POSCAR:
```
LaInHg2
1.0
4.894 0.000 0.000
0.000 4.894 0.000
0.000 0.000 4.525
In Hg La
1 2 1
direct
0.500 0.000 0.500
0.000 0.000 0.000
0.500 0.500 0.000
0.000 0.500 0.500
```

For the formation energy, the calculation gives -401 meV/atom. The calculation puts the total energy at -9.9 eV for the cell shown.

---

First-principles (GGA-PBE) data for Tc2AgOs after structural relaxation, as listed in Alexandria.

Cell and atoms, written as POSCAR:
```
Tc2AgOs
1.0
0.867 -3.752 2.175
-3.116 -1.862 2.527
-1.908 -3.783 -1.269
Os Tc Ag
1 2 1
direct
0.500 0.500 0.500
0.250 0.250 0.250
0.750 0.750 0.750
0.000 0.000 0.000
```

For the formation energy, the calculation gives 714 meV/atom. The calculation puts the total energy at -32.0 eV for the cell shown.

---

First-principles (GGA-PBE) data for Th2Ga4TcGe2 after structural relaxation, as listed in Alexandria.

Cell and atoms, written as POSCAR:
```
Th2Ga4TcGe2
1.0
6.305 -0.064 -0.092
-3.082 5.501 0.092
-3.082 -1.847 5.182
Th Ga Tc Ge
2 4 1 2
direct
0.500 0.750 0.250
0.500 0.250 0.750
0.000 0.715 0.285
0.430 0.715 0.715
0.000 0.285 0.715
0.570 0.285 0.285
0.000 0.000 0.000
0.000 0.716 0.716
0.000 0.284 0.284
```

For the formation energy, the calculation gives -474 meV/atom. The calculation puts the total energy at -50.8 eV for the cell shown.

---

First-principles (GGA-PBE) data for YZn4 after structural relaxation, as listed in Alexandria.

Cell and atoms, written as POSCAR:
```
YZn4
1.0
8.059 -0.028 -0.136
6.969 4.048 -0.136
-1.019 -0.272 5.580
Y Zn
2 8
direct
0.998 0.998 0.041
0.569 0.569 0.592
0.769 0.769 0.580
0.640 0.640 0.134
0.372 0.372 0.739
0.187 0.187 0.403
0.380 0.380 0.230
0.195 0.195 0.895
0.927 0.927 0.500
0.798 0.798 0.053
```

For the formation energy, the calculation gives -254 meV/atom. The calculation puts the total energy at -25.7 eV for the cell shown.

---

First-principles (GGA-PBE) data for Tb6PrSc2 after structural relaxation, as listed in Alexandria.

Cell and atoms, written as POSCAR:
```
Tb6PrSc2
1.0
-10.780 3.683 -3.804
-4.807 -5.288 1.076
-3.320 3.506 5.377
Tb Pr Sc
12 2 4
direct
0.604 0.768 0.489
0.896 0.511 0.232
0.396 0.232 0.511
0.104 0.489 0.768
0.930 0.053 0.263
0.570 0.737 0.947
0.070 0.947 0.737
0.430 0.263 0.053
0.145 0.641 0.240
0.355 0.760 0.359
0.855 0.359 0.760
0.645 0.240 0.641
0.250 0.045 0.955
0.750 0.955 0.045
0.360 0.609 0.781
0.140 0.219 0.391
0.640 0.391 0.219
0.860 0.781 0.609
```

For the formation energy, the calculation gives 193 meV/atom. The calculation puts the total energy at -87.0 eV for the cell shown.

---

First-principles (GGA-PBE) data for TiVZn2 after structural relaxation, as listed in Alexandria.

Cell and atoms, written as POSCAR:
```
TiVZn2
1.0
-0.880 1.027 2.929
1.821 -2.294 1.352
4.419 3.556 0.082
Zn Ti V
2 1 1
direct
0.000 0.000 0.740
0.000 0.000 0.260
0.500 0.500 0.000
0.500 0.500 0.500
```

For the formation energy, the calculation gives 4 meV/atom. The calculation puts the total energy at -19.5 eV for the cell shown.

---

First-principles (GGA-PBE) data for Pm3TmHg4 after structural relaxation, as listed in Alexandria.

Cell and atoms, written as POSCAR:
```
Pm3TmHg4
1.0
3.751 0.000 0.000
0.000 3.751 0.000
0.000 0.000 15.340
Tm Hg Pm
1 4 3
direct
0.500 0.500 0.000
0.000 0.000 0.886
0.000 0.000 0.114
0.000 0.000 0.374
0.000 0.000 0.626
0.500 0.500 0.245
0.500 0.500 0.500
0.500 0.500 0.755
```

For the formation energy, the calculation gives -473 meV/atom. The calculation puts the total energy at -23.7 eV for the cell shown.

---

First-principles (GGA-PBE) data for TlRe3S after structural relaxation, as listed in Alexandria.

Cell and atoms, written as POSCAR:
```
TlRe3S
1.0
-1.515 0.793 4.088
-1.872 -4.015 0.086
3.720 -1.697 1.708
Re Tl S
3 1 1
direct
0.000 0.500 0.000
0.000 0.000 0.500
0.500 0.000 0.000
0.500 0.500 0.500
0.000 0.000 0.000
```

The calculation puts the formation energy (no corrections) at 112 kJ per mole of atoms. The calculation puts the total energy at -38.0 eV for the cell shown.